Entry 1:
Computed, not measured: crystalline Tb2SiSe at its relaxed geometry at the PBE level of DFT.

DOS(E_F), states/eV per cell: 1.98
Energy above the most stable polymorph in this dataset, kJ per mole of atoms: 1.1
Formation energy (no corrections), eV per atom: -1.308

```
Tb2SiSe
1.0
4.1094 0.0000 0.0000
0.0000 5.8237 0.0000
0.0000 0.0000 8.3518
Tb Si Se
4 2 2
Direct
0.2500 0.2500 0.1198
0.2500 0.2500 0.6380
0.7500 0.7500 0.3620
0.7500 0.7500 0.8802
0.2500 0.7500 0.1261
0.7500 0.2500 0.8739
0.2500 0.7500 0.6195
0.7500 0.2500 0.3805
```

***

Entry 2:
Computed, not measured: crystalline LiZrPaS4 at its relaxed geometry at the PBE level of DFT.

DOS(E_F), states/eV per cell: 11.45
Formation energy (no corrections), eV per atom: -1.548

```
LiZrPaS4
1.0
-3.6965 4.0721 5.3690
3.6965 -4.0721 5.3690
3.6965 4.0721 -5.3690
Li Zr Pa S
2 2 2 8
Direct
0.3913 0.1413 0.2500
0.6087 0.8587 0.7500
0.0000 0.0000 0.5000
0.0000 0.5000 0.0000
0.0000 0.5000 0.5000
0.5000 0.5000 0.0000
0.2275 0.2491 0.9784
0.2294 0.7509 0.4784
0.2446 0.2513 0.5067
0.2446 0.7379 0.9933
0.7554 0.2621 0.0067
0.7554 0.7487 0.4933
0.7706 0.2491 0.5216
0.7725 0.7509 0.0216
```

***

Entry 3:
Computed, not measured: crystalline HfPaTaV at its relaxed geometry at the PBE level of DFT.

ΔE_f, eV per atom: 0.145
DOS(E_F), states/eV per cell: 5.73

```
HfPaTaV
1.0
0.0000 3.4044 3.4044
3.4044 0.0000 3.4044
3.4044 3.4044 0.0000
Hf Pa Ta V
1 1 1 1
Direct
0.0000 0.0000 0.0000
0.5000 0.5000 0.5000
0.7500 0.7500 0.7500
0.2500 0.2500 0.2500
```

***

Entry 4:
Computed, not measured: crystalline Ni2GeBP at its relaxed geometry at the PBE level of DFT.

ΔE_f, eV per atom: 1.106
DOS(E_F), states/eV per cell: 2.92

```
Ni2GeBP
1.0
4.4962 0.0000 0.0000
0.0000 4.4962 0.0000
0.0000 0.0000 3.7104
Ni Ge B P
2 1 1 1
Direct
0.0000 0.5000 0.0000
0.5000 0.0000 0.0000
0.0000 0.0000 0.0000
0.0000 0.0000 0.5000
0.5000 0.5000 0.5000
```

***

Entry 5:
Computed, not measured: crystalline La2Al4InAg3 at its relaxed geometry at the PBE level of DFT.

ΔE_f, eV per atom: -0.383
DOS(E_F), states/eV per cell: 4.82

```
La2Al4InAg3
1.0
4.4788 0.0000 0.0000
0.0000 4.4788 0.0000
0.0000 0.0000 11.0220
La Al In Ag
2 4 1 3
Direct
0.0000 0.5000 0.2437
0.5000 0.0000 0.7563
0.0000 0.0000 0.0000
0.0000 0.5000 0.6453
0.5000 0.0000 0.3547
0.5000 0.5000 0.0000
0.0000 0.0000 0.5000
0.0000 0.5000 0.8752
0.5000 0.0000 0.1248
0.5000 0.5000 0.5000
```

***

Entry 6:
Computed, not measured: crystalline InAs2SeN at its relaxed geometry at the PBE level of DFT.

DOS(E_F), states/eV per cell: 3.51
Energy above the most stable polymorph in this dataset, kJ per mole of atoms: 0.0
Formation energy (no corrections), eV per atom: 0.710

```
InAs2SeN
1.0
4.4480 0.0000 0.0000
0.0000 4.4480 0.0000
0.0000 0.0000 4.7962
In As Se N
1 2 1 1
Direct
0.0000 0.0000 0.0000
0.0000 0.5000 0.5000
0.5000 0.0000 0.5000
0.5000 0.5000 0.0000
0.5000 0.5000 0.5000
```

***

Entry 7:
Computed, not measured: crystalline PuAs2Au at its relaxed geometry at the PBE level of DFT.

ΔE_f, eV per atom: -0.096
DOS(E_F), states/eV per cell: 14.24

```
PuAs2Au
1.0
2.1956 1.2677 7.4305
-2.1956 1.2677 7.4305
0.0000 -2.5353 7.4305
Pu As Au
1 2 1
Direct
0.0000 0.0000 0.0000
0.3916 0.3916 0.3916
0.6084 0.6084 0.6084
0.5000 0.5000 0.5000
```

***

Entry 8:
Computed, not measured: crystalline TlAs2IrW at its relaxed geometry at the PBE level of DFT.

ΔE_f, eV per atom: 1.304
DOS(E_F), states/eV per cell: 6.55

```
TlAs2IrW
1.0
4.7815 0.0000 0.0000
0.0000 4.7815 0.0000
0.0000 0.0000 5.4116
Tl As Ir W
1 2 1 1
Direct
0.0000 0.0000 0.0000
0.0000 0.5000 0.5000
0.5000 0.0000 0.5000
0.5000 0.5000 0.0000
0.0000 0.0000 0.5000
```